Record 1
A plane-wave DFT calculation with PBE-GGA was carried out for a relaxed RbMgRe crystal.

CIF file:
```
data_RbMgRe
_symmetry_space_group_name_H-M 'P 1'
_symmetry_Int_Tables_number 1
_cell_length_a 4.331
_cell_length_b 4.331
_cell_length_c 12.894
_cell_angle_alpha 90.39
_cell_angle_beta 90.17
_cell_angle_gamma 120.00
loop_
_symmetry_equiv_pos_as_xyz
'x,y,z'
loop_
_atom_site_label
_atom_site_fract_x
_atom_site_fract_y
_atom_site_fract_z
Rb1 0.159 0.323 0.171
Rb2 0.841 0.677 0.829
Mg1 0.497 0.996 0.387
Mg2 0.503 0.004 0.613
Re1 0.167 0.334 0.513
Re2 0.833 0.666 0.487
```

SG: P-1 (2)
E above lowest polymorph in meV per atom: 0.0

=====

Record 2
A plane-wave DFT calculation with PBE-GGA was carried out for a relaxed RbMgRe2 crystal.

CIF file:
```
data_RbMgRe2
_symmetry_space_group_name_H-M 'P 1'
_symmetry_Int_Tables_number 1
_cell_length_a 10.768
_cell_length_b 10.768
_cell_length_c 10.768
_cell_angle_alpha 157.42
_cell_angle_beta 157.42
_cell_angle_gamma 32.15
loop_
_symmetry_equiv_pos_as_xyz
'x,y,z'
loop_
_atom_site_label
_atom_site_fract_x
_atom_site_fract_y
_atom_site_fract_z
Rb1 0.000 0.000 0.000
Rb2 0.750 0.250 0.500
Mg1 0.250 0.750 0.500
Mg2 0.500 0.500 0.000
Re1 0.222 0.625 0.097
Re2 0.375 0.472 0.597
Re3 0.528 0.125 0.903
Re4 0.875 0.778 0.403
```

SG: I-42d (122)

=====

Record 3
A plane-wave DFT calculation with PBE-GGA was carried out for a relaxed RbMg2Re2 crystal.

CIF file:
```
data_RbMg2Re2
_symmetry_space_group_name_H-M 'P 1'
_symmetry_Int_Tables_number 1
_cell_length_a 11.508
_cell_length_b 11.508
_cell_length_c 11.508
_cell_angle_alpha 162.17
_cell_angle_beta 162.17
_cell_angle_gamma 25.31
loop_
_symmetry_equiv_pos_as_xyz
'x,y,z'
loop_
_atom_site_label
_atom_site_fract_x
_atom_site_fract_y
_atom_site_fract_z
Rb1 0.000 0.000 0.000
Mg1 0.352 0.352 0.000
Mg2 0.648 0.648 0.000
Re1 0.250 0.750 0.500
Re2 0.750 0.250 0.500
```

SG: I4/mmm (139)
E above lowest polymorph in meV per atom: 0.0

=====

Record 4
A plane-wave DFT calculation with PBE-GGA was carried out for a relaxed RbMg3Re crystal.

CIF file:
```
data_RbMg3Re
_symmetry_space_group_name_H-M 'P 1'
_symmetry_Int_Tables_number 1
_cell_length_a 6.378
_cell_length_b 6.378
_cell_length_c 6.378
_cell_angle_alpha 90.00
_cell_angle_beta 90.00
_cell_angle_gamma 90.00
loop_
_symmetry_equiv_pos_as_xyz
'x,y,z'
loop_
_atom_site_label
_atom_site_fract_x
_atom_site_fract_y
_atom_site_fract_z
Rb1 0.000 0.000 0.000
Mg1 0.000 0.000 0.500
Mg2 0.000 0.500 0.000
Mg3 0.500 0.000 0.000
Re1 0.500 0.500 0.500
```

SG: Pm-3m (221)
E above lowest polymorph in meV per atom: 1528.7

=====

Record 5
A plane-wave DFT calculation with PBE-GGA was carried out for a relaxed RbMgRe crystal.

CIF file:
```
data_RbMgRe
_symmetry_space_group_name_H-M 'P 1'
_symmetry_Int_Tables_number 1
_cell_length_a 4.330
_cell_length_b 4.331
_cell_length_c 13.304
_cell_angle_alpha 81.09
_cell_angle_beta 82.02
_cell_angle_gamma 60.01
loop_
_symmetry_equiv_pos_as_xyz
'x,y,z'
loop_
_atom_site_label
_atom_site_fract_x
_atom_site_fract_y
_atom_site_fract_z
Rb1 0.000 0.000 0.000
Rb2 0.166 0.231 0.336
Mg1 0.722 0.748 0.772
Mg2 0.778 0.826 0.548
Re1 0.081 0.117 0.671
Re2 0.420 0.458 0.646
```

SG: P1 (1)
E above lowest polymorph in meV per atom: 7.7

=====

Record 6
A plane-wave DFT calculation with PBE-GGA was carried out for a relaxed RbMgRe2Rh crystal.

CIF file:
```
data_RbMgRe2Rh
_symmetry_space_group_name_H-M 'P 1'
_symmetry_Int_Tables_number 1
_cell_length_a 4.929
_cell_length_b 4.929
_cell_length_c 4.778
_cell_angle_alpha 90.00
_cell_angle_beta 90.00
_cell_angle_gamma 90.00
loop_
_symmetry_equiv_pos_as_xyz
'x,y,z'
loop_
_atom_site_label
_atom_site_fract_x
_atom_site_fract_y
_atom_site_fract_z
Rb1 0.000 0.000 0.000
Mg1 0.500 0.500 0.500
Re1 0.000 0.500 0.500
Re2 0.500 0.000 0.500
Rh1 0.500 0.500 0.000
```

SG: P4/mmm (123)

=====

Record 7
A plane-wave DFT calculation with PBE-GGA was carried out for a relaxed Rb2MgReRu crystal.

CIF file:
```
data_Rb2MgReRu
_symmetry_space_group_name_H-M 'P 1'
_symmetry_Int_Tables_number 1
_cell_length_a 6.576
_cell_length_b 6.576
_cell_length_c 4.950
_cell_angle_alpha 90.00
_cell_angle_beta 90.00
_cell_angle_gamma 90.00
loop_
_symmetry_equiv_pos_as_xyz
'x,y,z'
loop_
_atom_site_label
_atom_site_fract_x
_atom_site_fract_y
_atom_site_fract_z
Rb1 0.000 0.500 0.000
Rb2 0.500 0.000 0.000
Mg1 0.000 0.000 0.000
Re1 0.500 0.500 0.500
Ru1 0.000 0.000 0.500
```

SG: P4/mmm (123)

=====

Record 8
A plane-wave DFT calculation with PBE-GGA was carried out for a relaxed RbMg2Rh2 crystal.

CIF file:
```
data_RbMg2Rh2
_symmetry_space_group_name_H-M 'P 1'
_symmetry_Int_Tables_number 1
_cell_length_a 8.162
_cell_length_b 8.162
_cell_length_c 3.034
_cell_angle_alpha 90.00
_cell_angle_beta 90.00
_cell_angle_gamma 90.00
loop_
_symmetry_equiv_pos_as_xyz
'x,y,z'
loop_
_atom_site_label
_atom_site_fract_x
_atom_site_fract_y
_atom_site_fract_z
Rb1 0.000 0.000 0.000
Rb2 0.500 0.500 0.000
Mg1 0.152 0.348 0.500
Mg2 0.348 0.848 0.500
Mg3 0.652 0.152 0.500
Mg4 0.848 0.652 0.500
Rh1 0.126 0.626 0.000
Rh2 0.374 0.126 0.000
Rh3 0.626 0.874 0.000
Rh4 0.874 0.374 0.000
```

SG: P4/mbm (127)

=====

Record 9
A plane-wave DFT calculation with PBE-GGA was carried out for a relaxed RbMg2Rh crystal.

CIF file:
```
data_RbMg2Rh
_symmetry_space_group_name_H-M 'P 1'
_symmetry_Int_Tables_number 1
_cell_length_a 5.096
_cell_length_b 5.096
_cell_length_c 5.096
_cell_angle_alpha 60.00
_cell_angle_beta 60.00
_cell_angle_gamma 60.00
loop_
_symmetry_equiv_pos_as_xyz
'x,y,z'
loop_
_atom_site_label
_atom_site_fract_x
_atom_site_fract_y
_atom_site_fract_z
Rb1 0.000 0.000 0.000
Mg1 0.250 0.250 0.250
Mg2 0.750 0.750 0.750
Rh1 0.500 0.500 0.500
```

SG: Fm-3m (225)
E above lowest polymorph in meV per atom: 130.4

=====

Record 10
A plane-wave DFT calculation with PBE-GGA was carried out for a relaxed RbMg3Rh crystal.

CIF file:
```
data_RbMg3Rh
_symmetry_space_group_name_H-M 'P 1'
_symmetry_Int_Tables_number 1
_cell_length_a 5.181
_cell_length_b 5.181
_cell_length_c 5.181
_cell_angle_alpha 90.00
_cell_angle_beta 90.00
_cell_angle_gamma 90.00
loop_
_symmetry_equiv_pos_as_xyz
'x,y,z'
loop_
_atom_site_label
_atom_site_fract_x
_atom_site_fract_y
_atom_site_fract_z
Rb1 0.000 0.000 0.000
Mg1 0.000 0.500 0.500
Mg2 0.500 0.000 0.500
Mg3 0.500 0.500 0.000
Rh1 0.500 0.500 0.500
```

SG: Pm-3m (221)
E above lowest polymorph in meV per atom: 0.0

=====

Record 11
A plane-wave DFT calculation with PBE-GGA was carried out for a relaxed RbMg2Rh crystal.

CIF file:
```
data_RbMg2Rh
_symmetry_space_group_name_H-M 'P 1'
_symmetry_Int_Tables_number 1
_cell_length_a 8.906
_cell_length_b 8.906
_cell_length_c 8.906
_cell_angle_alpha 138.75
_cell_angle_beta 138.75
_cell_angle_gamma 59.76
loop_
_symmetry_equiv_pos_as_xyz
'x,y,z'
loop_
_atom_site_label
_atom_site_fract_x
_atom_site_fract_y
_atom_site_fract_z
Rb1 0.375 0.625 0.750
Rb2 0.625 0.375 0.250
Mg1 0.000 0.000 0.000
Mg2 0.000 0.000 0.500
Mg3 0.000 0.500 0.000
Mg4 0.500 0.000 0.500
Rh1 0.125 0.875 0.250
Rh2 0.875 0.125 0.750
```

SG: I4_1/amd (141)
E above lowest polymorph in meV per atom: 0.0

=====

Record 12
A plane-wave DFT calculation with PBE-GGA was carried out for a relaxed RbMgRh3 crystal.

CIF file:
```
data_RbMgRh3
_symmetry_space_group_name_H-M 'P 1'
_symmetry_Int_Tables_number 1
_cell_length_a 4.834
_cell_length_b 4.834
_cell_length_c 4.834
_cell_angle_alpha 90.00
_cell_angle_beta 90.00
_cell_angle_gamma 90.00
loop_
_symmetry_equiv_pos_as_xyz
'x,y,z'
loop_
_atom_site_label
_atom_site_fract_x
_atom_site_fract_y
_atom_site_fract_z
Rb1 0.000 0.000 0.000
Mg1 0.500 0.500 0.500
Rh1 0.000 0.500 0.500
Rh2 0.500 0.000 0.500
Rh3 0.500 0.500 0.000
```

SG: Pm-3m (221)
E above lowest polymorph in meV per atom: 0.0

=====

Record 13
A plane-wave DFT calculation with PBE-GGA was carried out for a relaxed Rb2MgRh2 crystal.

CIF file:
```
data_Rb2MgRh2
_symmetry_space_group_name_H-M 'P 1'
_symmetry_Int_Tables_number 1
_cell_length_a 6.870
_cell_length_b 6.870
_cell_length_c 5.764
_cell_angle_alpha 90.00
_cell_angle_beta 90.00
_cell_angle_gamma 90.00
loop_
_symmetry_equiv_pos_as_xyz
'x,y,z'
loop_
_atom_site_label
_atom_site_fract_x
_atom_site_fract_y
_atom_site_fract_z
Rb1 0.178 0.322 0.000
Rb2 0.322 0.822 0.000
Rb3 0.678 0.178 0.000
Rb4 0.822 0.678 0.000
Mg1 0.000 0.000 0.500
Mg2 0.500 0.500 0.500
Rh1 0.128 0.628 0.500
Rh2 0.372 0.128 0.500
Rh3 0.628 0.872 0.500
Rh4 0.872 0.372 0.500
```

SG: P4/mbm (127)
E above lowest polymorph in meV per atom: 0.0

=====

Record 14
A plane-wave DFT calculation with PBE-GGA was carried out for a relaxed Rb3MgRh crystal.

CIF file:
```
data_Rb3MgRh
_symmetry_space_group_name_H-M 'P 1'
_symmetry_Int_Tables_number 1
_cell_length_a 6.292
_cell_length_b 6.292
_cell_length_c 6.292
_cell_angle_alpha 90.00
_cell_angle_beta 90.00
_cell_angle_gamma 90.00
loop_
_symmetry_equiv_pos_as_xyz
'x,y,z'
loop_
_atom_site_label
_atom_site_fract_x
_atom_site_fract_y
_atom_site_fract_z
Rb1 0.000 0.000 0.500
Rb2 0.000 0.500 0.000
Rb3 0.500 0.000 0.000
Mg1 0.500 0.500 0.500
Rh1 0.000 0.000 0.000
```

SG: Pm-3m (221)

=====

| no. | ΔE_f (eV/atom) | E_tot (eV per atom) | size of the total moment (μB per formula unit) |
| --- | --- | --- | --- |
| 1 | 0.3612 | -4.64 | 0.000 |
| 2 | 1.5861 | -5.28 | 0.000 |
| 3 | 0.6569 | -5.15 | 0.000 |
| 4 | 2.2753 | -1.36 | 4.334 |
| 5 | 0.3689 | -4.63 | 0.000 |
| 6 | 2.3147 | -4.65 | 5.220 |
| 7 | 2.1400 | -2.91 | 5.931 |
| 8 | 0.0559 | -3.72 | 0.485 |
| 9 | 0.3908 | -2.49 | 0.000 |
| 10 | -0.1070 | -2.73 | 0.000 |
| 11 | 0.2603 | -2.62 | 0.000 |
| 12 | 1.0409 | -3.88 | 2.142 |
| 13 | 0.4718 | -3.17 | 1.055 |
| 14 | 0.6112 | -1.76 | 0.000 |